! Zn2Pt2Pb, optimized geometry, DFT GGA-PBE; values from VASP
&SYSTEM
  ibrav = 0, nat = 5, ntyp = 3
/
ATOMIC_SPECIES
Pb 207.20 Pb.upf
Zn 65.41 Zn.upf
Pt 195.08 Pt.upf
CELL_PARAMETERS angstrom
4.091 0.000 0.000
0.000 4.091 0.000
2.046 2.046 5.637
ATOMIC_POSITIONS angstrom
Pb 0.000 0.000 0.000
Zn 2.046 2.046 1.273
Zn 4.091 4.091 4.364
Pt 4.091 2.046 2.819
Pt 2.046 4.091 2.819
! Formation enthalpy at 0 K ... -0.195 eV/atom
! Total energy ... -3.862 eV per atom
! ΔE to the lowest computed polymorph ... 0.63 eV/f.u.
! Magnetic moment ... 0.00 μB per formula unit